1.
{"formula": "CdReSiO2", "functional": "GGA-PBE", "state": "relaxed", "spacegroup": "No. 123", "e_form_raw_ev_per_fu": 5.9, "lattice": [[3.962, 0.000, 0.000], [0.000, 3.962, 0.000], [0.000, 0.000, 5.648]], "species": ["Cd", "Re", "Si", "O", "O"], "frac_coords": [[0.000, 0.000, 0.000], [0.500, 0.500, 0.500], [0.000, 0.000, 0.500], [0.000, 0.500, 0.000], [0.500, 0.000, 0.000]]}

2.
{"formula": "SrCdReO6", "functional": "GGA-PBE", "state": "relaxed", "spacegroup": "No. 5", "e_form_raw_ev_per_fu": -14.4, "lattice": [[2.840, -4.803, 0.000], [2.840, 4.803, 0.000], [-0.143, 0.000, 5.141]], "species": ["Sr", "Cd", "Re", "O", "O", "O", "O", "O", "O"], "frac_coords": [[0.000, 0.000, 0.000], [0.325, 0.675, 0.500], [0.667, 0.333, 0.500], [0.377, 0.056, 0.692], [0.397, 0.377, 0.283], [0.623, 0.603, 0.717], [0.648, 0.071, 0.271], [0.929, 0.352, 0.729], [0.944, 0.623, 0.308]]}

3.
{"formula": "Sr2CdReO8", "functional": "GGA-PBE", "state": "relaxed", "spacegroup": "No. 2", "e_form_raw_ev_per_fu": -19.8, "lattice": [[4.694, 0.000, 0.000], [-0.087, 5.416, 0.000], [-1.228, -0.280, 6.801]], "species": ["Sr", "Sr", "Cd", "Re", "O", "O", "O", "O", "O", "O", "O", "O"], "frac_coords": [[0.117, 0.010, 0.289], [0.883, 0.990, 0.711], [0.500, 0.500, 0.000], [0.500, 0.500, 0.500], [0.245, 0.484, 0.236], [0.250, 0.292, 0.602], [0.316, 0.781, 0.583], [0.378, 0.924, 0.993], [0.622, 0.076, 0.007], [0.684, 0.219, 0.417], [0.750, 0.708, 0.398], [0.755, 0.516, 0.764]]}

4.
{"formula": "CdReTc2O", "functional": "GGA-PBE", "state": "relaxed", "spacegroup": "No. 123", "e_form_raw_ev_per_fu": 3.9, "lattice": [[4.914, 0.000, 0.000], [0.000, 4.914, 0.000], [0.000, 0.000, 3.745]], "species": ["Cd", "Re", "Tc", "Tc", "O"], "frac_coords": [[0.000, 0.000, 0.000], [0.500, 0.500, 0.500], [0.000, 0.500, 0.500], [0.500, 0.000, 0.500], [0.500, 0.500, 0.000]]}

5.
{"formula": "TiCdReO6", "functional": "GGA-PBE", "state": "relaxed", "spacegroup": "No. 163", "e_form_raw_ev_per_fu": -17.0, "lattice": [[5.174, 0.000, 0.000], [-2.587, 4.481, 0.000], [0.000, 0.000, 9.771]], "species": ["Ti", "Ti", "Cd", "Cd", "Re", "Re", "O", "O", "O", "O", "O", "O", "O", "O", "O", "O", "O", "O"], "frac_coords": [[0.333, 0.667, 0.250], [0.667, 0.333, 0.750], [0.000, 0.000, 0.000], [0.000, 0.000, 0.500], [0.333, 0.667, 0.750], [0.667, 0.333, 0.250], [0.006, 0.371, 0.641], [0.006, 0.635, 0.859], [0.365, 0.371, 0.859], [0.365, 0.994, 0.641], [0.371, 0.006, 0.141], [0.371, 0.365, 0.359], [0.629, 0.635, 0.641], [0.629, 0.994, 0.859], [0.635, 0.006, 0.359], [0.635, 0.629, 0.141], [0.994, 0.365, 0.141], [0.994, 0.629, 0.359]]}

6.
{"formula": "TiCdRe2O", "functional": "GGA-PBE", "state": "relaxed", "spacegroup": "No. 123", "e_form_raw_ev_per_fu": 10.5, "lattice": [[5.040, 0.000, 0.000], [0.000, 5.040, 0.000], [0.000, 0.000, 3.829]], "species": ["Ti", "Cd", "Re", "Re", "O"], "frac_coords": [[0.000, 0.000, 0.000], [0.500, 0.500, 0.500], [0.000, 0.500, 0.500], [0.500, 0.000, 0.500], [0.500, 0.500, 0.000]]}

7.
{"formula": "Tl2Cd2ReO6", "functional": "GGA-PBE", "state": "relaxed", "spacegroup": "No. 12", "e_form_raw_ev_per_fu": -11.7, "lattice": [[2.964, -5.000, 0.000], [2.964, 5.000, 0.000], [-1.812, 0.000, 6.357]], "species": ["Tl", "Tl", "Cd", "Cd", "Re", "O", "O", "O", "O", "O", "O"], "frac_coords": [[0.172, 0.828, 0.000], [0.828, 0.172, 0.000], [0.338, 0.662, 0.500], [0.662, 0.338, 0.500], [0.000, 0.000, 0.500], [0.054, 0.333, 0.664], [0.208, 0.208, 0.314], [0.333, 0.054, 0.664], [0.667, 0.946, 0.336], [0.792, 0.792, 0.686], [0.946, 0.667, 0.336]]}

8.
{"formula": "Tl3Cd2ReO6", "functional": "GGA-PBE", "state": "relaxed", "spacegroup": "No. 12", "e_form_raw_ev_per_fu": -11.5, "lattice": [[2.965, -5.126, 0.000], [2.965, 5.126, 0.000], [-1.932, 0.000, 6.539]], "species": ["Tl", "Tl", "Tl", "Cd", "Cd", "Re", "O", "O", "O", "O", "O", "O"], "frac_coords": [[0.000, 0.000, 0.000], [0.334, 0.666, 0.000], [0.666, 0.334, 0.000], [0.166, 0.834, 0.500], [0.834, 0.166, 0.500], [0.500, 0.500, 0.500], [0.168, 0.441, 0.337], [0.289, 0.289, 0.676], [0.441, 0.168, 0.337], [0.559, 0.832, 0.663], [0.711, 0.711, 0.324], [0.832, 0.559, 0.663]]}

9.
{"formula": "TlCdRe2O8", "functional": "GGA-PBE", "state": "relaxed", "spacegroup": "No. 12", "e_form_raw_ev_per_fu": -16.7, "lattice": [[5.494, -3.099, 0.000], [5.494, 3.099, 0.000], [-2.487, 0.000, 6.622]], "species": ["Tl", "Cd", "Re", "Re", "O", "O", "O", "O", "O", "O", "O", "O"], "frac_coords": [[0.000, 0.000, 0.000], [0.500, 0.500, 0.500], [0.207, 0.207, 0.663], [0.793, 0.793, 0.337], [0.092, 0.622, 0.263], [0.150, 0.150, 0.398], [0.378, 0.908, 0.737], [0.379, 0.379, 0.741], [0.621, 0.621, 0.259], [0.622, 0.092, 0.263], [0.850, 0.850, 0.602], [0.908, 0.378, 0.737]]}

10.
{"formula": "Tl3CdRe2O8", "functional": "GGA-PBE", "state": "relaxed", "spacegroup": "No. 164", "e_form_raw_ev_per_fu": -16.7, "lattice": [[6.037, 0.000, 0.000], [-3.018, 5.228, 0.000], [0.000, 0.000, 9.868]], "species": ["Tl", "Tl", "Tl", "Cd", "Re", "Re", "O", "O", "O", "O", "O", "O", "O", "O"], "frac_coords": [[0.000, 0.000, 0.000], [0.333, 0.667, 0.536], [0.667, 0.333, 0.464], [0.000, 0.000, 0.500], [0.333, 0.667, 0.169], [0.667, 0.333, 0.831], [0.176, 0.352, 0.232], [0.176, 0.824, 0.232], [0.333, 0.667, 0.991], [0.352, 0.176, 0.768], [0.648, 0.824, 0.232], [0.667, 0.333, 0.009], [0.824, 0.176, 0.768], [0.824, 0.648, 0.768]]}

11.
{"formula": "Tl2CdReO4", "functional": "GGA-PBE", "state": "relaxed", "spacegroup": "No. 82", "e_form_raw_ev_per_fu": -7.2, "lattice": [[-3.290, 3.290, 3.480], [3.290, -3.290, 3.480], [3.290, 3.290, -3.480]], "species": ["Tl", "Tl", "Cd", "Re", "O", "O", "O", "O"], "frac_coords": [[0.000, 0.000, 0.000], [0.750, 0.250, 0.500], [0.500, 0.500, 0.000], [0.250, 0.750, 0.500], [0.198, 0.592, 0.133], [0.408, 0.541, 0.606], [0.459, 0.065, 0.867], [0.935, 0.802, 0.394]]}

12.
{"formula": "TmCdReO6", "functional": "GGA-PBE", "state": "relaxed", "spacegroup": "No. 149", "e_form_raw_ev_per_fu": -17.9, "lattice": [[5.460, 0.000, 0.000], [-2.730, 4.728, 0.000], [0.000, 0.000, 4.759]], "species": ["Tm", "Cd", "Re", "O", "O", "O", "O", "O", "O"], "frac_coords": [[0.000, 0.000, 0.000], [0.667, 0.333, 0.500], [0.333, 0.667, 0.000], [0.047, 0.375, 0.224], [0.047, 0.672, 0.776], [0.328, 0.375, 0.776], [0.328, 0.953, 0.224], [0.625, 0.672, 0.224], [0.625, 0.953, 0.776]]}

What did the fourth record say?
{"formula": "CdReTc2O", "functional": "GGA-PBE", "state": "relaxed", "spacegroup": "No. 123", "e_form_raw_ev_per_fu": 3.9, "lattice": [[4.914, 0.000, 0.000], [0.000, 4.914, 0.000], [0.000, 0.000, 3.745]], "species": ["Cd", "Re", "Tc", "Tc", "O"], "frac_coords": [[0.000, 0.000, 0.000], [0.500, 0.500, 0.500], [0.000, 0.500, 0.500], [0.500, 0.000, 0.500], [0.500, 0.500, 0.000]]}